[1]
Material: La3Pr4Pb4
Method: DFT, PBE
State: optimized geometry Values from VASP.

Structure (Quantum ESPRESSO input):
```
&SYSTEM
  ibrav = 0, nat = 11, ntyp = 3
/
ATOMIC_SPECIES
Pr 140.91 Pr.upf
Pb 207.20 Pb.upf
La 138.91 La.upf
ATOMIC_POSITIONS crystal
Pr 0.668 0.845 0.336
Pr 0.332 0.155 0.664
Pr 0.332 0.509 0.664
Pr 0.668 0.491 0.336
Pb 0.725 0.225 0.449
Pb 0.500 0.228 0.000
Pb 0.275 0.775 0.551
Pb 0.500 0.772 0.000
La 0.913 0.913 0.825
La 0.000 0.500 0.000
La 0.087 0.087 0.175
CELL_PARAMETERS angstrom
-2.363 3.083 0.378
-2.589 -3.101 9.101
9.738 5.108 -0.936
```

Summary:
Total DFT energy (no corrections) (Ry/atom): -0.358
Space-group type: Immm (71)
Crystal system: orthorhombic
Mass density (g/cm³): 8.008
Formation energy from the elements (eV/atom): -0.436
Total moment (μB/atom): 0.00

[2]
Material: La4Pr3Pb4
Method: DFT, PBE
State: optimized geometry Values from VASP.

Structure (Quantum ESPRESSO input):
```
&SYSTEM
  ibrav = 0, nat = 11, ntyp = 3
/
ATOMIC_SPECIES
La 138.91 La.upf
Pb 207.20 Pb.upf
Pr 140.91 Pr.upf
ATOMIC_POSITIONS crystal
La 0.666 0.496 0.330
La 0.334 0.166 0.670
La 0.666 0.834 0.330
La 0.334 0.504 0.670
Pb 0.278 0.778 0.555
Pb 0.722 0.222 0.445
Pb 0.500 0.225 0.000
Pb 0.500 0.775 0.000
Pr 0.000 0.500 0.000
Pr 0.910 0.910 0.820
Pr 0.090 0.090 0.180
CELL_PARAMETERS angstrom
3.849 -0.001 0.001
-0.001 9.783 0.000
-1.922 -4.892 9.890
```

Summary:
Total DFT energy (no corrections) (Ry/atom): -0.360
Space-group type: Immm (71)
Crystal system: orthorhombic
Mass density (g/cm³): 8.058
Formation energy from the elements (eV/atom): -0.453
Total moment (μB/atom): 0.00

[3]
Material: La6PrPb
Method: DFT, PBE
State: optimized geometry Values from VASP.

Structure (Quantum ESPRESSO input):
```
&SYSTEM
  ibrav = 0, nat = 8, ntyp = 3
/
ATOMIC_SPECIES
La 138.91 La.upf
Pb 207.20 Pb.upf
Pr 140.91 Pr.upf
ATOMIC_POSITIONS crystal
La 0.999 0.263 0.500
La 0.500 0.262 0.238
La 0.001 0.737 0.500
La 0.762 0.737 0.000
La 0.500 0.738 0.762
La 0.238 0.263 0.000
Pb 0.000 0.000 0.000
Pr 0.500 0.500 0.500
CELL_PARAMETERS angstrom
9.281 -0.242 0.233
4.718 4.314 1.503
4.505 2.349 7.769
```

Summary:
Total DFT energy (no corrections) (Ry/atom): -0.357
Space-group type: P-1 (2)
Crystal system: triclinic
Mass density (g/cm³): 6.919
Formation energy from the elements (eV/atom): -0.099
Total moment (μB/atom): 0.00

[4]
Material: La2PrPb2
Method: DFT, PBE
State: optimized geometry Values from VASP.

Structure (Quantum ESPRESSO input):
```
&SYSTEM
  ibrav = 0, nat = 10, ntyp = 3
/
ATOMIC_SPECIES
La 138.91 La.upf
Pb 207.20 Pb.upf
Pr 140.91 Pr.upf
ATOMIC_POSITIONS crystal
La 0.507 0.662 0.324
La 0.683 0.722 0.913
La 0.317 0.278 0.087
La 0.493 0.338 0.676
Pb 0.956 0.197 0.891
Pb 0.869 0.686 0.576
Pb 0.131 0.314 0.424
Pb 0.044 0.803 0.109
Pr 0.210 0.922 0.659
Pr 0.790 0.078 0.341
CELL_PARAMETERS angstrom
-3.733 3.221 -0.925
-5.871 -3.486 -2.052
-5.893 -0.349 8.969
```

Summary:
Total DFT energy (no corrections) (Ry/atom): -0.358
Space-group type: C2/m (12)
Crystal system: monoclinic
Mass density (g/cm³): 8.018
Formation energy from the elements (eV/atom): -0.467
Total moment (μB/atom): 0.00

[5]
Material: La5Pr8Pb
Method: DFT, PBE
State: optimized geometry Values from VASP.

Structure (Quantum ESPRESSO input):
```
&SYSTEM
  ibrav = 0, nat = 14, ntyp = 3
/
ATOMIC_SPECIES
Pr 140.91 Pr.upf
La 138.91 La.upf
Pb 207.20 Pb.upf
ATOMIC_POSITIONS crystal
Pr 0.177 0.160 0.292
Pr 0.551 0.951 0.966
Pr 0.014 0.049 0.600
Pr 0.593 0.351 0.797
Pr 0.132 0.840 0.016
Pr 0.935 0.574 0.630
Pr 0.447 0.649 0.242
Pr 0.056 0.426 0.361
La 0.879 0.715 0.226
La 0.511 0.285 0.164
La 0.968 0.247 0.903
La 0.655 0.753 0.720
La 0.494 0.000 0.494
Pb 0.339 0.500 0.839
CELL_PARAMETERS angstrom
8.068 -1.435 -3.981
-4.447 7.902 -1.084
-1.159 1.435 8.922
```

Summary:
Total DFT energy (no corrections) (Ry/atom): -0.346
Space-group type: C2 (5)
Crystal system: monoclinic
Mass density (g/cm³): 6.586
Formation energy from the elements (eV/atom): 0.043
Total moment (μB/atom): 0.00

[6]
Material: LaPrPb
Method: DFT, PBE
State: optimized geometry Values from VASP.

Structure (Quantum ESPRESSO input):
```
&SYSTEM
  ibrav = 0, nat = 6, ntyp = 3
/
ATOMIC_SPECIES
Pr 140.91 Pr.upf
La 138.91 La.upf
Pb 207.20 Pb.upf
ATOMIC_POSITIONS crystal
Pr 0.500 0.000 0.000
Pr 0.000 0.000 0.000
La 0.250 0.331 0.338
La 0.750 0.669 0.662
Pb 0.750 0.843 0.313
Pb 0.250 0.157 0.687
CELL_PARAMETERS angstrom
6.144 0.000 0.000
0.000 3.631 0.000
0.000 1.816 9.490
```

Summary:
Total DFT energy (no corrections) (Ry/atom): -0.344
Space-group type: Cmcm (63)
Crystal system: orthorhombic
Mass density (g/cm³): 7.639
Formation energy from the elements (eV/atom): -0.208
Total moment (μB/atom): 0.00